[1]
Computed, not measured: Ti2BiPdAu after structural relaxation at the PBE level of DFT.

Cell: 4.9038 4.9038 5.4775 Å, 90.00 90.00 90.00°
Closest atoms and distances in Å follow each position.
Space group P4/mmm (No. 123)
Unique sites:
Ti  0.0000  0.5000  0.0000 (multiplicity 2)  2 Au 2.45
Bi  0.0000  0.0000  0.5000 (multiplicity 1)  2 Au 2.74
Pd  0.5000  0.5000  0.5000 (multiplicity 1)  4 Bi 3.47, 8 Ti 3.68
Au  0.0000  0.0000  0.0000 (multiplicity 1)  4 Ti 2.45, 2 Bi 2.74

Results
magnetic moment: 2.64 μB/f.u.
ΔE_f: 0.87 eV per atom

---

[2]
Computed, not measured: Tl2Bi2Pd7Au after structural relaxation at the PBE level of DFT.

Cell: 5.6150 5.5506 15.9658 Å, 90.00 97.12 90.00°
Closest atoms and distances in Å follow each position.
Space group C2/m (No. 12)
Unique sites:
Tl  0.0882  0.0000  0.2561 (multiplicity 4)  5 Pd 2.80-2.93
Bi  0.1420  0.5000  0.3904 (multiplicity 4)  5 Pd 2.77-2.99
Pd  0.0000  0.0000  0.0000 (multiplicity 2)  4 Au 2.78-2.81, 8 Pd 2.85-2.86
Pd  0.1730  0.0000  0.4407 (multiplicity 4)  5 Bi 2.77-2.99, 1 Pd 2.88, 1 Tl 2.93
Pd  0.2048  0.2502  0.8696 (multiplicity 8)  6 Pd 2.77-2.86, 2 Tl 2.80-2.81, 2 Au 2.86
Au  0.0000  0.5000  0.0000 (multiplicity 2)  12 Pd 2.78-2.86

Results
magnetic moment: 0.00 μB/f.u.
ΔE_f: -0.09 eV per atom

---

[3]
Computed, not measured: TmBi2Pd7Au2 after structural relaxation at the PBE level of DFT.

Cell: 5.5323 5.5309 15.4485 Å, 90.00 100.06 90.00°
Closest atoms and distances in Å follow each position.
Space group C2/m (No. 12)
Unique sites:
Tm  0.0000  0.0000  0.0000 (multiplicity 2)  12 Pd 2.77-2.89
Bi  0.1796  0.0000  0.3668 (multiplicity 4)  1 Pd 2.71
Pd  0.0000  0.5000  0.0000 (multiplicity 2)  4 Tm 2.77, 8 Pd 2.89
Pd  0.1821  0.2500  0.8601 (multiplicity 8)  6 Pd 2.77-2.89, 2 Au 2.79-2.80, 2 Tm 2.89
Pd  0.2268  0.5000  0.4553 (multiplicity 4)  1 Bi 2.71, 1 Au 2.80
Au  0.1317  0.5000  0.2712 (multiplicity 4)  5 Pd 2.79-2.80, 3 Bi 3.12

Results
magnetic moment: 0.00 μB/f.u.
ΔE_f: -0.35 eV per atom

---

[4]
Computed, not measured: BiPdW2Au after structural relaxation at the PBE level of DFT.

Cell: 4.8795 4.8795 5.4581 Å, 90.00 90.00 90.00°
Closest atoms and distances in Å follow each position.
Space group P4/mmm (No. 123)
Unique sites:
Bi  0.0000  0.0000  0.0000 (multiplicity 1)  2 Au 2.73
Pd  0.5000  0.5000  0.0000 (multiplicity 1)  4 Bi 3.45, 8 W 3.66
W  0.0000  0.5000  0.5000 (multiplicity 2)  2 Au 2.44
Au  0.0000  0.0000  0.5000 (multiplicity 1)  4 W 2.44, 2 Bi 2.73

Results
magnetic moment: 0.86 μB/f.u.
ΔE_f: 2.31 eV per atom